## Nd3AlI2Br (GGA-PBE)

Data for a geometry-optimized Nd3AlI2Br structure.

Cell: 6.176 6.176 6.287 Å, 90.00 90.00 90.00°
Fractional positions:
Al1 0.000 0.000 0.500
I1 0.500 0.000 0.000
I2 0.000 0.500 0.000
Br1 0.500 0.500 0.500
Nd1 0.000 0.500 0.500
Nd2 0.500 0.000 0.500
Nd3 0.000 0.000 0.000

Calculated values
E: -4.2708 eV/atom

---

## LaCuSnS3 (GGA-PBE)

Data for a geometry-optimized LaCuSnS3 structure.

Cell: 11.144 4.133 11.454 Å, 90.00 90.00 90.00°
Fractional positions:
Cu1 0.752 0.750 0.706
Cu2 0.252 0.750 0.794
Cu3 0.248 0.250 0.294
Cu4 0.748 0.250 0.206
S1 0.777 0.750 0.307
S2 0.723 0.250 0.807
S3 0.389 0.250 0.441
S4 0.450 0.750 0.865
S5 0.889 0.250 0.059
S6 0.223 0.250 0.693
S7 0.950 0.750 0.635
S8 0.050 0.250 0.365
S9 0.611 0.750 0.559
S10 0.277 0.750 0.193
S11 0.550 0.250 0.135
S12 0.111 0.750 0.941
La1 0.012 0.750 0.180
La2 0.512 0.750 0.320
La3 0.988 0.250 0.820
La4 0.488 0.250 0.680
Sn1 0.670 0.750 0.985
Sn2 0.330 0.250 0.015
Sn3 0.170 0.750 0.515
Sn4 0.830 0.250 0.485

Calculated values
E: -5.2696 eV/atom